V2IrF, optimized geometry, DFT GGA+U; DFT total energy = -99.35 eV/cell; SG = Fm-3m; density of states at the Fermi level = 13.6 states/eV per cell; size of the total moment = 5.3 μB per formula unit
1.0
6.157 0.000 0.000
0.000 6.157 0.000
0.000 0.000 6.157
V Ir F
8 4 4
Cartesian
1.539 1.539 1.539
1.539 1.539 4.618
1.539 4.618 1.539
1.539 4.618 4.618
4.618 1.539 1.539
4.618 1.539 4.618
4.618 4.618 1.539
4.618 4.618 4.618
0.000 0.000 0.000
0.000 3.079 3.079
3.079 0.000 3.079
3.079 3.079 0.000
0.000 0.000 3.079
0.000 3.079 0.000
3.079 0.000 0.000
3.079 3.079 3.079

Tb12Fe3O5, optimized geometry, DFT GGA+U; DFT total energy = -482.58 eV/cell; SG = Ia-3d; density of states at the Fermi level = 69.5 states/eV per cell; size of the total moment = 9.9 μB per formula unit
1.0
-7.754 7.754 7.754
7.754 -7.754 7.754
7.754 7.754 -7.754
Tb Fe O
48 12 20
Cartesian
2.296 -0.608 0.792
9.335 4.669 -4.486
10.051 0.608 0.792
9.335 -3.085 4.486
7.146 -0.792 2.296
12.240 -1.581 3.085
0.792 2.296 -0.608
10.840 3.269 -1.581
4.669 4.486 -1.581
6.962 2.296 0.608
-0.608 0.792 2.296
4.486 -1.581 4.669
7.146 6.962 -2.296
4.486 1.581 3.085
4.669 -4.486 9.335
6.962 -2.296 7.146
3.085 4.486 1.581
8.546 5.458 0.608
4.486 9.335 -3.085
7.146 0.792 5.458
2.296 7.146 -0.792
9.335 3.085 3.269
1.581 3.085 4.486
2.296 0.608 6.962
5.458 7.146 0.792
6.173 4.669 3.269
-1.581 4.669 4.486
5.458 0.608 8.546
0.608 6.962 2.296
3.269 -1.581 10.840
-0.792 2.296 7.146
4.669 3.269 6.173
0.792 10.051 0.608
3.085 12.240 -1.581
3.269 6.173 4.669
0.608 0.792 10.051
3.269 9.335 3.085
8.363 6.962 5.458
0.792 5.458 7.146
3.085 3.269 9.335
-3.085 4.486 9.335
6.962 5.458 8.363
-4.486 9.335 4.669
0.608 8.546 5.458
-1.581 10.840 3.269
-2.296 7.146 6.962
-1.581 3.085 12.240
5.458 8.363 6.962
3.877 1.939 0.000
7.754 3.877 -1.939
1.939 0.000 3.877
9.693 0.000 3.877
0.000 3.877 1.939
3.877 -1.939 7.754
3.877 9.693 0.000
7.754 3.877 5.816
-1.939 7.754 3.877
5.816 7.754 3.877
0.000 3.877 9.693
3.877 5.816 7.754
0.000 0.000 0.000
3.877 3.877 -3.877
3.877 -3.877 3.877
7.754 0.000 0.000
11.631 1.939 0.000
7.754 -3.877 5.816
5.816 7.754 -3.877
5.816 0.000 3.877
3.877 5.816 0.000
7.754 3.877 1.939
-3.877 3.877 3.877
0.000 7.754 0.000
0.000 0.000 7.754
3.877 3.877 3.877
0.000 3.877 5.816
3.877 1.939 7.754
1.939 7.754 3.877
1.939 0.000 11.631
0.000 11.631 1.939
-3.877 5.816 7.754